[1]
Here is a geometry-optimized TbHo2Ru2 structure from Alexandria. Energies are from PBE.

```
TbHo2Ru2
1.0
1.6975 -10.1896 0.0000
1.6975 10.1896 0.0000
0.0000 0.0000 3.3709
Tb Ho Ru
1 2 2
Cartesian
0.0000 0.0000 0.0000
1.6975 6.8160 0.0000
1.6975 -6.8160 0.0000
1.6975 1.8152 1.6855
1.6975 -1.8152 1.6855
```

Values from the calculation:
The formation energy comes out at -0.32 eV/atom. The excess energy over the best structure of this formula in the dataset comes out at 0 meV per atom.


[2]
Here is a geometry-optimized Ac2AsSe5 structure from Alexandria. Energies are from PBE.

```
Ac2AsSe5
1.0
6.0127 0.0000 0.0000
-0.7126 6.5854 0.0000
-2.8367 -3.1251 6.1651
Ac As Se
2 1 5
Cartesian
0.0000 0.0000 0.0000
0.0099 0.2243 4.9969
-0.5679 3.3804 2.2089
-0.5573 3.6434 4.9957
1.4899 1.1333 2.4218
3.3770 4.6491 1.6858
4.4056 1.1768 2.3902
3.0252 0.0726 5.6775
```

Values from the calculation:
The energy relative to the elements, uncorrected is -115.7 kJ/mol of atoms.


[3]
Here is a geometry-optimized Mn2PtAu2 structure from Alexandria. Energies are from PBE.

```
Mn2PtAu2
1.0
1.4574 -9.8063 0.0000
1.4574 9.8063 0.0000
0.0000 0.0000 2.9166
Mn Pt Au
2 1 2
Cartesian
1.4574 8.0351 0.0000
1.4574 -8.0351 0.0000
1.4574 0.0000 1.4583
1.4574 3.6489 1.4583
1.4574 -3.6489 1.4583
```

Values from the calculation:
The formation energy comes out at -0.15 eV/atom. The excess energy over the best structure of this formula in the dataset comes out at 0 meV per atom.


[4]
Here is a geometry-optimized PaBe2GeO8 structure from Alexandria. Energies are from PBE.

```
PaBe2GeO8
1.0
5.0238 0.0000 0.0000
-2.5119 4.3507 0.0000
0.0000 0.0000 6.1714
Pa Be Ge O
1 2 1 8
Cartesian
0.0000 0.0000 0.0000
0.0000 2.9005 4.7031
2.5119 1.4502 1.4682
0.0000 0.0000 3.0857
-0.2667 1.3780 4.3472
-1.1851 3.8927 4.3472
1.0601 0.9200 1.8241
0.0000 2.9005 0.1671
2.5119 1.4502 6.0042
1.4518 3.4308 4.3472
3.6970 0.4581 1.8241
2.7786 2.9727 1.8241
```

Values from the calculation:
The energy relative to the elements, uncorrected is -177.5 kJ/mol of atoms.


[5]
Here is a geometry-optimized YTiCoW2 structure from Alexandria. Energies are from PBE.

```
YTiCoW2
1.0
4.5525 0.0000 0.0000
0.0000 4.5525 0.0000
0.0000 0.0000 5.1365
Y Ti Co W
1 1 1 2
Cartesian
0.0000 0.0000 0.0000
0.0000 0.0000 2.5682
2.2762 2.2762 0.0000
0.0000 2.2762 2.5682
2.2762 0.0000 2.5682
```

Values from the calculation:
The formation energy comes out at 1.86 eV/atom. The excess energy over the best structure of this formula in the dataset comes out at 0 meV per atom.


[6]
Here is a geometry-optimized VCd3Ni structure from Alexandria. Energies are from PBE.

```
VCd3Ni
1.0
4.8593 0.0000 0.0000
0.0000 4.8593 0.0000
0.0000 0.0000 4.8593
V Cd Ni
1 3 1
Cartesian
0.0000 0.0000 0.0000
0.0000 2.4297 2.4297
2.4297 0.0000 2.4297
2.4297 2.4297 0.0000
2.4297 2.4297 2.4297
```

Values from the calculation:
The formation energy comes out at 0.64 eV/atom. The excess energy over the best structure of this formula in the dataset comes out at 0 meV per atom.